Entry 1:
VASP calculation (PBE) on TmTiS after structural relaxation.

POSCAR file:
```
TmTiS
1.0
3.858 0.000 0.000
0.000 4.183 0.000
0.000 -2.091 3.622
S Tm Ti
1 1 1
Cartesian
0.644 0.000 2.415
2.571 2.091 1.207
0.643 0.000 0.000
```

## Properties
* magnetic moment: 0.0 μB per cell
* energy above the most stable polymorph in this dataset: 0.3126 eV/atom
* E_form (uncorrected): -0.650 eV per atom



Entry 2:
VASP calculation (PBE) on TmTi4S8 after structural relaxation.

POSCAR file:
```
TmTi4S8
1.0
-3.383 3.392 4.944
-3.555 -3.488 4.753
2.845 -0.263 6.920
Ti S Tm
4 8 1
Cartesian
-1.777 -1.744 2.377
-1.691 1.696 2.472
-3.469 -0.048 4.849
0.000 0.000 0.000
-2.804 1.642 6.541
-2.915 -0.276 12.574
-4.614 -0.133 8.961
-2.892 -1.860 6.444
-1.288 -2.001 10.077
0.522 -0.226 7.657
-1.201 1.501 10.175
-1.177 -0.083 4.044
-2.046 -0.179 8.309
```

## Properties
* magnetic moment: 0.0 μB per cell
* E_form (uncorrected): -1.512 eV per atom



Entry 3:
VASP calculation (PBE) on UTi2S after structural relaxation.

POSCAR file:
```
UTi2S
1.0
3.087 0.000 0.000
1.544 2.674 0.000
1.544 0.891 8.775
S Ti U
1 2 1
Cartesian
3.087 1.782 4.388
4.631 2.674 2.739
1.544 0.891 6.036
0.000 0.000 0.000
```

## Properties
* magnetic moment: 2.5 μB per cell
* E_form (uncorrected): -0.213 eV per atom



Entry 4:
VASP calculation (PBE) on UTiS2 after structural relaxation.

POSCAR file:
```
UTiS2
1.0
5.255 -0.170 0.032
2.736 2.509 0.423
2.681 1.705 5.536
U Ti S
1 1 2
Cartesian
6.229 1.873 3.609
3.629 2.359 1.036
3.602 1.958 3.593
6.257 2.275 1.052
```

## Properties
* magnetic moment: 1.3 μB per cell
* energy above the most stable polymorph in this dataset: 0.0061 eV/atom
* E_form (uncorrected): -1.269 eV per atom



Entry 5:
VASP calculation (PBE) on UTiS after structural relaxation.

POSCAR file:
```
UTiS
1.0
3.665 -0.057 -0.825
1.782 3.203 -0.825
0.100 0.058 8.976
S Ti U
2 2 2
Cartesian
3.403 1.966 6.632
0.830 0.480 3.862
1.394 0.806 6.344
2.839 1.640 4.149
0.099 0.057 0.634
4.033 2.330 0.883
```

## Properties
* magnetic moment: 0.0 μB per cell
* E_form (uncorrected): -0.705 eV per atom



Entry 6:
VASP calculation (PBE) on UTi3S8 after structural relaxation.

POSCAR file:
```
UTi3S8
1.0
-0.023 -6.672 -2.455
4.334 4.838 -2.893
1.748 -2.636 7.147
S Ti U
8 3 1
Cartesian
4.585 2.469 -1.877
1.473 -6.939 3.676
4.575 -0.691 -3.039
3.654 -1.299 3.498
3.525 -4.648 2.307
2.534 0.178 -0.508
1.484 -3.779 4.838
2.405 -3.171 -1.699
-0.011 -3.336 -1.227
2.167 2.419 -1.447
2.156 -0.917 -2.674
0.000 0.000 0.000
```

## Properties
* magnetic moment: 2.1 μB per cell
* E_form (uncorrected): -1.283 eV per atom



Entry 7:
VASP calculation (PBE) on U3Ti5S12 after structural relaxation.

POSCAR file:
```
U3Ti5S12
1.0
-9.055 -5.118 -7.898
0.478 -6.866 11.100
-3.075 12.406 2.684
S Ti U
48 20 12
Cartesian
-4.532 10.449 2.157
-3.760 7.326 1.511
-8.164 4.063 4.040
-10.115 2.477 -4.540
-7.722 0.636 1.376
-8.995 -6.765 -0.614
-2.136 4.089 2.525
-6.287 -0.788 -3.954
-0.739 -5.163 9.740
-5.460 4.344 -0.289
-7.085 0.488 5.080
-2.426 1.116 8.383
-6.513 -4.056 -4.168
-6.284 -2.203 3.381
-4.148 -5.940 4.092
-6.945 -1.219 7.878
-6.726 -5.499 1.389
-7.504 6.363 1.793
-3.488 -3.641 1.845
-6.521 3.098 7.415
-4.925 5.921 4.496
-3.596 2.964 5.935
-4.707 1.642 -1.993
-1.536 -2.055 10.426
-9.226 -0.694 -2.498
-7.849 2.384 -1.398
-3.930 -0.214 4.510
-1.193 -2.360 3.810
-10.912 5.585 -3.855
-7.120 -10.027 3.728
-9.516 -3.666 3.360
-2.656 7.187 6.500
-5.131 -2.676 -1.530
-9.764 5.052 -0.192
-7.891 -6.904 4.375
-10.265 -0.547 4.050
-2.221 4.388 8.554
-10.459 2.782 2.075
-1.887 -4.630 6.077
-6.191 -3.922 6.174
-8.056 -2.542 -0.050
-5.368 2.625 2.505
-1.387 0.970 1.835
-5.138 4.478 10.053
-9.430 -3.966 -2.668
-4.567 -0.066 0.805
-3.803 -1.962 7.284
-5.365 1.210 9.839
-9.725 1.559 -2.459
-9.930 0.535 2.039
-6.010 -6.105 5.447
-4.288 -5.992 1.601
-5.826 0.211 2.943
-6.065 3.644 -2.607
0.239 -3.433 5.550
-4.527 -2.559 -3.949
-7.991 2.507 5.737
-1.298 2.770 6.892
-1.926 -1.137 8.344
-1.721 -0.113 3.846
-5.642 6.527 0.438
-3.660 -2.085 0.149
-9.422 6.159 -2.188
-2.230 -5.736 8.073
0.000 0.000 0.000
-7.645 -3.478 2.020
-1.537 6.203 1.342
-4.006 3.900 3.865
-3.020 2.657 10.738
-4.959 0.685 7.040
-3.703 8.499 4.136
-7.786 3.531 1.239
-6.996 -4.863 -1.426
-8.295 -2.092 5.466
-4.655 5.285 7.311
-3.866 -3.109 4.647
-3.357 2.515 0.419
-8.632 -2.235 -4.853
-7.949 -8.077 1.749
-6.693 -0.263 -1.155
```

## Properties
* magnetic moment: 55.7 μB per cell
* E_form (uncorrected): -1.244 eV per atom



Entry 8:
VASP calculation (PBE) on U8TiS17 after structural relaxation.

POSCAR file:
```
U8TiS17
1.0
4.190 6.576 -0.001
-4.190 6.576 -0.001
0.000 1.958 10.157
S U Ti
17 8 1
Cartesian
0.000 6.626 1.712
0.000 8.485 8.443
2.566 8.362 0.296
1.630 9.291 5.436
0.000 12.794 2.336
-2.566 6.748 9.858
0.000 3.321 2.811
0.000 5.454 7.658
0.000 11.790 7.344
0.000 2.317 7.819
2.566 6.748 9.858
0.000 0.979 5.078
-2.566 8.362 0.296
1.630 5.819 4.719
0.000 9.657 2.497
-1.630 5.819 4.719
-1.630 9.291 5.436
0.000 3.750 5.499
0.000 4.173 0.168
0.000 10.938 9.986
-2.161 7.936 3.033
2.161 7.936 3.033
-2.161 7.174 7.122
2.161 7.174 7.122
0.000 11.361 4.655
0.000 0.000 0.000
```

## Properties
* magnetic moment: 18.0 μB per cell
* E_form (uncorrected): -1.440 eV per atom



Which value of E_form (uncorrected) does entry 2 give? -1.512 eV per atom



Among the records above, which one has the highest magnetic moment? U3Ti5S12



Which formula does entry 5 have? UTiS